Record 1
VASP calculation (PBE) on an optimized crystal structure of Ce2ZnAg5.

Calculated formation energy, eV/atom: -0.08
Fermi-level density of states, states/eV per atom: 2.12
Space group: Cmcm (63)

```
Ce2ZnAg5
1.0
4.397 0.000 0.000
-2.198 8.409 0.000
0.000 0.000 9.817
Ce Zn Ag
4 2 10
Direct
0.807 0.614 0.750
0.193 0.386 0.250
0.000 0.000 0.000
0.000 0.000 0.500
0.452 0.904 0.750
0.548 0.096 0.250
0.194 0.388 0.893
0.806 0.612 0.107
0.194 0.388 0.607
0.806 0.612 0.393
0.361 0.722 0.966
0.639 0.278 0.034
0.361 0.722 0.534
0.639 0.278 0.466
0.606 0.211 0.750
0.394 0.789 0.250
```

---

Record 2
VASP calculation (PBE) on an optimized crystal structure of Ce2Zn5Ag12.

Calculated formation energy, eV/atom: -0.07
Fermi-level density of states, states/eV per atom: 1.30
Space group: R-3m (166)

```
Ce2Zn5Ag12
1.0
-5.014 -5.138 -0.616
3.474 -5.136 3.669
-3.212 1.065 6.361
Ce Zn Ag
2 5 12
Direct
0.653 0.653 0.653
0.347 0.347 0.347
0.000 0.000 0.500
0.000 0.500 0.000
0.500 0.000 0.000
0.900 0.900 0.900
0.100 0.100 0.100
0.300 0.700 0.000
0.700 0.000 0.300
0.000 0.300 0.700
0.700 0.300 0.000
0.300 0.000 0.700
0.000 0.700 0.300
0.343 0.343 0.857
0.343 0.857 0.343
0.857 0.343 0.343
0.657 0.143 0.657
0.657 0.657 0.143
0.143 0.657 0.657
```

---

Record 3
VASP calculation (PBE) on an optimized crystal structure of Ce2Zn3Ag3.

Calculated formation energy, eV/atom: -0.04
Fermi-level density of states, states/eV per atom: 1.41
Space group: P6_3/mcm (193)

```
Ce2Zn3Ag3
1.0
-3.539 3.340 -3.230
-2.567 3.975 6.922
4.048 6.849 2.646
Ce Zn Ag
4 6 6
Direct
0.000 0.333 0.333
0.500 0.667 0.667
0.000 0.667 0.667
0.500 0.333 0.333
0.750 0.000 0.673
0.750 0.673 0.327
0.750 0.327 0.000
0.250 0.000 0.327
0.250 0.327 0.673
0.250 0.673 0.000
0.750 0.000 0.309
0.750 0.309 0.691
0.750 0.691 0.000
0.250 0.000 0.691
0.250 0.691 0.309
0.250 0.309 0.000
```

---

Record 4
VASP calculation (PBE) on an optimized crystal structure of CeZn2Ag9.

Calculated formation energy, eV/atom: -0.04
Fermi-level density of states, states/eV per atom: 1.01
Space group: I4_1/amd (141)

```
CeZn2Ag9
1.0
6.593 0.000 3.035
3.296 7.982 1.518
-0.042 0.000 8.768
Ce Zn Ag
2 4 18
Direct
0.500 0.000 0.000
0.250 0.500 0.500
0.875 0.250 0.750
0.875 0.750 0.250
0.875 0.250 0.250
0.375 0.750 0.750
0.750 0.500 0.500
0.000 0.000 0.000
0.008 0.921 0.677
0.605 0.079 0.323
0.678 0.177 0.579
0.435 0.823 0.421
0.742 0.823 0.579
0.145 0.177 0.421
0.072 0.921 0.323
0.315 0.079 0.677
0.742 0.579 0.823
0.145 0.421 0.177
0.072 0.323 0.921
0.315 0.677 0.079
0.008 0.677 0.921
0.605 0.323 0.079
0.678 0.579 0.177
0.435 0.421 0.823
```

---

Record 5
VASP calculation (PBE) on an optimized crystal structure of CeZn2Ag4.

Calculated formation energy, eV/atom: -0.13
Fermi-level density of states, states/eV per atom: 1.27
Space group: I4/mmm (139)

```
CeZn2Ag4
1.0
4.651 0.000 2.685
2.325 4.999 1.342
-0.174 0.000 5.672
Ce Zn Ag
1 2 4
Direct
0.000 0.000 0.000
0.750 0.500 0.500
0.250 0.500 0.500
0.696 0.000 0.607
0.304 0.000 0.393
0.304 0.393 0.000
0.696 0.607 0.000
```

---

Record 6
VASP calculation (PBE) on an optimized crystal structure of CeZn4Ag8.

Calculated formation energy, eV/atom: -0.10
Fermi-level density of states, states/eV per atom: 0.92
Space group: I4/mmm (139)

```
CeZn4Ag8
1.0
4.903 0.000 1.971
2.451 6.682 0.985
-0.041 0.000 7.186
Ce Zn Ag
1 4 8
Direct
0.000 0.000 0.000
0.000 0.000 0.500
0.500 0.000 0.500
0.000 0.500 0.000
0.500 0.500 0.000
0.000 0.348 0.652
0.000 0.652 0.348
0.348 0.652 0.652
0.652 0.348 0.348
0.500 0.783 0.217
0.500 0.217 0.783
0.283 0.217 0.217
0.717 0.783 0.783
```

---

Record 7
VASP calculation (PBE) on an optimized crystal structure of CeZn3Ag3.

Calculated formation energy, eV/atom: -0.06
Fermi-level density of states, states/eV per atom: 0.97
Space group: P6_3/m (176)

```
CeZn3Ag3
1.0
4.812 0.000 0.000
0.000 6.894 -3.936
0.000 -0.038 7.940
Ce Zn Ag
2 6 6
Direct
0.750 0.333 0.667
0.250 0.667 0.333
0.750 0.912 0.387
0.750 0.475 0.088
0.750 0.613 0.525
0.250 0.088 0.613
0.250 0.525 0.912
0.250 0.387 0.475
0.750 0.782 0.007
0.750 0.224 0.218
0.750 0.993 0.776
0.250 0.218 0.993
0.250 0.776 0.782
0.250 0.007 0.224
```

---

Record 8
VASP calculation (PBE) on an optimized crystal structure of CeZn3Ag.

Calculated formation energy, eV/atom: -0.21
Fermi-level density of states, states/eV per atom: 1.03
Space group: Imm2 (44)

```
CeZn3Ag
1.0
4.690 0.235 1.886
0.277 4.688 1.886
0.545 0.541 4.780
Ce Zn Ag
1 3 1
Direct
0.603 0.603 0.797
0.300 0.907 0.296
0.907 0.300 0.296
0.894 0.894 0.006
0.297 0.297 0.603
```